[1]
# PBE NiRuPb2, optimized geometry
# crystal system	orthorhombic
# space-group type	Pmmm, No. 47
# size of the total moment	0.1	μB per formula unit
# formation energy	10.74	kcal/mol of atoms
data_NiRuPb2
_chemical_formula_sum 'Ni1 Ru1 Pb2'
_cell_length_a 4.652
_cell_length_b 4.976
_cell_length_c 3.258
_cell_angle_alpha 90.00
_cell_angle_beta 90.00
_cell_angle_gamma 90.00
_symmetry_space_group_name_H-M 'P 1'
_symmetry_Int_Tables_number 1
_symmetry_space_group_name_Hall 'P 1'
loop_
_atom_site_label
_atom_site_type_symbol
_atom_site_fract_x
_atom_site_fract_y
_atom_site_fract_z
Pb1 Pb 0.500 0.500 0.000
Ni1 Ni 0.000 0.500 0.500
Pb2 Pb 0.000 0.000 0.000
Ru1 Ru 0.500 0.000 0.500

***

[2]
# PBE NiRu2Pb, optimized geometry
# crystal system	monoclinic
# space-group type	Cm, No. 8
# size of the total moment	0.0	μB per formula unit
# formation energy	9.82	kcal/mol of atoms
data_NiRu2Pb
_chemical_formula_sum 'Ni1 Ru2 Pb1'
_cell_length_a 4.688
_cell_length_b 4.688
_cell_length_c 4.861
_cell_angle_alpha 80.33
_cell_angle_beta 80.33
_cell_angle_gamma 37.05
_symmetry_space_group_name_H-M 'P 1'
_symmetry_Int_Tables_number 1
_symmetry_space_group_name_Hall 'P 1'
loop_
_atom_site_label
_atom_site_type_symbol
_atom_site_fract_x
_atom_site_fract_y
_atom_site_fract_z
Pb1 Pb 0.751 0.751 0.730
Ru1 Ru 0.993 0.993 0.051
Ni1 Ni 0.505 0.505 0.481
Ru2 Ru 0.251 0.251 0.237

***

| no. | total energy (eV/cell) |
| --- | --- |
| 1 | -20.61 |
| 2 | -26.34 |